Entry from Alexandria via LeMat-Bulk: a relaxed Ga2AsRu crystal (PBE).

Calculated values
* total energy: -72.62 eV for the cell shown
* DOS(E_F): 4.073 states/eV/f.u.
* E_form: 455.8 meV per atom
* total moment: 0.00 μB/cell

```
Ga2AsRu
1.0
6.049 0.000 0.000
0.000 6.049 0.000
0.000 0.000 9.877
Ga As Ru
8 4 4
direct
0.240 0.250 0.125
0.250 0.740 0.375
0.250 0.760 0.875
0.260 0.250 0.625
0.740 0.750 0.625
0.750 0.240 0.875
0.750 0.260 0.375
0.760 0.750 0.125
0.000 0.000 0.500
0.000 0.500 0.750
0.500 0.000 0.250
0.500 0.500 0.000
0.000 0.000 0.000
0.000 0.500 0.250
0.500 0.000 0.750
0.500 0.500 0.500
```